Entry 1:
! SmYRh | Alexandria | PBE | relaxed; values from VASP
&SYSTEM
  ibrav = 0, nat = 3, ntyp = 3
/
ATOMIC_SPECIES
Y 88.91 Y.upf
Rh 102.91 Rh.upf
Sm 150.36 Sm.upf
CELL_PARAMETERS angstrom
4.304 0.000 0.000
0.000 4.552 0.000
0.000 -2.276 3.942
ATOMIC_POSITIONS angstrom
Y 1.112 0.000 2.628
Rh 0.042 0.000 0.000
Sm 3.151 2.276 1.314
! Formation enthalpy at 0 K   -0.366 eV per atom
! Total magnetic moment   0.00 μB per formula unit
! E above lowest polymorph   0.1894 eV per atom

Entry 2:
! Na2H3Se | Alexandria | PBE | relaxed; values from VASP
&SYSTEM
  ibrav = 0, nat = 12, ntyp = 3
/
ATOMIC_SPECIES
Na 22.99 Na.upf
H 1.01 H.upf
Se 78.96 Se.upf
CELL_PARAMETERS angstrom
4.843 0.252 1.016
-0.465 4.827 1.016
-1.276 -1.480 6.547
ATOMIC_POSITIONS angstrom
Na 3.514 1.397 1.018
Na 0.222 2.945 4.288
Na -0.412 2.201 7.562
Na 2.880 0.653 4.291
H 2.518 2.922 5.461
H 2.134 2.477 7.408
H 0.584 0.677 3.118
H 0.967 1.122 1.171
H 2.326 2.699 6.434
H 0.776 0.899 2.145
Se 0.137 0.159 5.418
Se 2.964 3.439 3.161
! E_tot   -2.94 eV/atom
! Total magnetic moment   0.00 μB per formula unit

Entry 3:
! Th2Si3HgPt4 | Alexandria | PBE | relaxed; values from VASP
&SYSTEM
  ibrav = 0, nat = 10, ntyp = 4
/
ATOMIC_SPECIES
Th 232.04 Th.upf
Si 28.09 Si.upf
Hg 200.59 Hg.upf
Pt 195.08 Pt.upf
CELL_PARAMETERS angstrom
-1.582 3.857 -0.610
-3.158 -0.876 2.648
5.893 3.724 8.261
ATOMIC_POSITIONS angstrom
Th 0.624 2.822 1.678
Th 2.900 2.392 7.602
Si 2.947 1.862 4.130
Si 4.386 5.199 6.951
Si -0.862 0.015 2.328
Hg 0.577 3.352 5.149
Pt -2.370 1.490 1.019
Pt 0.000 0.000 0.000
Pt 3.106 4.390 5.156
Pt 0.418 0.824 4.123
! Formation energy without anion corrections   -9.14 eV per formula unit
! Total magnetic moment   0.00 μB per formula unit

Entry 4:
! Tb4Dy3ThSe8 | Alexandria | PBE | relaxed; values from VASP
&SYSTEM
  ibrav = 0, nat = 16, ntyp = 4
/
ATOMIC_SPECIES
Tb 158.93 Tb.upf
Dy 162.50 Dy.upf
Th 232.04 Th.upf
Se 78.96 Se.upf
CELL_PARAMETERS angstrom
-4.162 -7.061 0.559
7.031 -4.049 1.214
-1.993 6.337 4.838
ATOMIC_POSITIONS angstrom
Tb -2.081 -3.530 0.280
Tb -3.078 -0.362 2.699
Tb 0.000 0.000 0.000
Tb -0.996 3.169 2.419
Dy 1.434 -5.555 0.887
Dy 0.438 -2.386 3.306
Dy 2.519 1.144 3.026
Th 3.515 -2.024 0.607
Se 2.243 1.490 5.886
Se 3.222 -1.621 3.511
Se -0.270 0.387 2.872
Se 0.200 -1.977 6.161
Se 0.676 -2.795 0.450
Se 1.146 -5.159 3.739
Se -2.346 -3.151 3.100
Se -1.368 -6.263 0.725
! Formation energy without anion corrections   -27.55 eV per formula unit
! Total magnetic moment   0.00 μB per formula unit

Entry 5:
! HgAuSe | Alexandria | PBE | relaxed; values from VASP
&SYSTEM
  ibrav = 0, nat = 3, ntyp = 3
/
ATOMIC_SPECIES
Au 196.97 Au.upf
Hg 200.59 Hg.upf
Se 78.96 Se.upf
CELL_PARAMETERS angstrom
-0.183 -2.304 -1.726
0.342 -0.351 2.843
-9.463 -0.094 1.127
ATOMIC_POSITIONS angstrom
Au -0.080 -0.001 0.010
Hg -3.013 -1.683 0.154
Se -6.211 -1.065 2.079
! Formation energy without anion corrections   0.87 eV per formula unit
! Total magnetic moment   0.00 μB per formula unit
! E above lowest polymorph   0.3988 eV per atom

Entry 6:
! ScTl | Alexandria | PBE | relaxed; values from VASP
&SYSTEM
  ibrav = 0, nat = 4, ntyp = 2
/
ATOMIC_SPECIES
Sc 44.96 Sc.upf
Tl 204.38 Tl.upf
CELL_PARAMETERS angstrom
6.113 -0.018 -0.012
4.264 4.381 -0.012
4.264 1.792 3.998
ATOMIC_POSITIONS angstrom
Sc 1.501 0.631 0.407
Sc 13.140 5.524 3.566
Tl 4.294 1.805 1.165
Tl 10.346 4.350 2.808
! Formation enthalpy at 0 K   0.086 eV per atom
! Total magnetic moment   0.00 μB per formula unit

Entry 7:
! ZnSi3Au | Alexandria | PBE | relaxed; values from VASP
&SYSTEM
  ibrav = 0, nat = 5, ntyp = 3
/
ATOMIC_SPECIES
Zn 65.41 Zn.upf
Au 196.97 Au.upf
Si 28.09 Si.upf
CELL_PARAMETERS angstrom
4.637 0.000 0.000
0.000 4.637 0.000
0.000 0.000 4.637
ATOMIC_POSITIONS angstrom
Zn 0.000 0.000 0.000
Au 2.318 2.318 2.318
Si 0.000 2.318 0.000
Si 0.000 0.000 2.318
Si 2.318 0.000 0.000
! Formation energy without anion corrections   4.73 eV per formula unit
! Total magnetic moment   0.00 μB per formula unit
! E above lowest polymorph   0.0000 eV per atom

Entry 8:
! VAgBi2 | Alexandria | PBE | relaxed; values from VASP
&SYSTEM
  ibrav = 0, nat = 4, ntyp = 3
/
ATOMIC_SPECIES
Bi 208.98 Bi.upf
Ag 107.87 Ag.upf
V 50.94 V.upf
CELL_PARAMETERS angstrom
0.000 3.624 3.624
3.624 0.000 3.624
3.624 3.624 0.000
ATOMIC_POSITIONS angstrom
Bi 1.812 1.812 1.812
Bi 5.436 5.436 5.436
Ag 3.624 3.624 3.624
V 0.000 0.000 0.000
! Formation enthalpy at 0 K   0.366 eV per atom
! Total magnetic moment   3.45 μB per formula unit

Entry 9:
! PrTlCd11 | Alexandria | PBE | relaxed; values from VASP
&SYSTEM
  ibrav = 0, nat = 13, ntyp = 3
/
ATOMIC_SPECIES
Pr 140.91 Pr.upf
Tl 204.38 Tl.upf
Cd 112.41 Cd.upf
CELL_PARAMETERS angstrom
5.660 0.038 2.358
2.810 7.140 1.171
0.096 0.019 7.743
ATOMIC_POSITIONS angstrom
Pr 0.000 0.000 0.000
Tl 4.235 3.589 1.764
Cd 2.168 1.497 2.539
Cd 6.398 5.700 8.733
Cd 5.141 5.681 3.777
Cd 3.425 1.516 7.494
Cd 3.840 4.670 6.537
Cd 4.726 2.527 4.735
Cd 1.125 2.508 5.406
Cd 7.441 4.689 5.866
Cd 1.405 3.570 0.585
Cd 2.878 0.029 5.050
Cd 0.048 0.010 3.871
! Formation enthalpy at 0 K   -0.071 eV per atom
! Total magnetic moment   0.00 μB per formula unit

Entry 10:
! CsInGe2H | Alexandria | PBE | relaxed; values from VASP
&SYSTEM
  ibrav = 0, nat = 5, ntyp = 4
/
ATOMIC_SPECIES
Cs 132.91 Cs.upf
H 1.01 H.upf
Ge 72.64 Ge.upf
In 114.82 In.upf
CELL_PARAMETERS angstrom
5.934 0.000 0.000
0.000 5.934 0.000
0.000 0.000 3.824
ATOMIC_POSITIONS angstrom
Cs 2.967 2.967 1.912
H 0.000 0.000 1.912
Ge 0.000 2.967 0.000
Ge 2.967 0.000 0.000
In 0.000 0.000 0.000
! E_tot   -2.70 eV/atom
! Total magnetic moment   0.00 μB per formula unit

Entry 11:
! HoTm2CuS5 | Alexandria | PBE | relaxed; values from VASP
&SYSTEM
  ibrav = 0, nat = 18, ntyp = 4
/
ATOMIC_SPECIES
Ho 164.93 Ho.upf
Tm 168.93 Tm.upf
Cu 63.55 Cu.upf
S 32.06 S.upf
CELL_PARAMETERS angstrom
-0.634 -1.403 -3.455
6.297 -4.994 2.942
-7.653 -7.120 4.295
ATOMIC_POSITIONS angstrom
Ho -0.564 -7.812 1.205
Ho 2.250 -2.284 0.515
Tm -1.922 -10.785 2.661
Tm -3.976 -6.059 3.189
Tm -0.924 -3.528 1.602
Tm 3.007 -6.508 0.020
Cu -6.937 -8.175 2.521
Cu 1.790 -8.279 3.033
S 4.272 -4.091 0.877
S -4.603 -8.741 2.323
S -0.018 -11.205 4.553
S -1.735 -8.153 3.628
S 0.825 -9.951 1.819
S -2.460 -5.888 0.771
S 1.216 -6.075 2.243
S -2.414 -2.722 -0.522
S 0.808 -4.374 -0.443
S -0.006 -0.952 0.388
! Formation energy without anion corrections   -15.09 eV per formula unit
! Total magnetic moment   0.00 μB per formula unit

Entry 12:
! Pm4NdSm2Mg | Alexandria | PBE | relaxed; values from VASP
&SYSTEM
  ibrav = 0, nat = 8, ntyp = 4
/
ATOMIC_SPECIES
Pm 145.00 Pm.upf
Nd 144.24 Nd.upf
Sm 150.36 Sm.upf
Mg 24.30 Mg.upf
CELL_PARAMETERS angstrom
-0.459 0.025 5.762
-4.496 -3.610 -0.342
0.430 -9.795 0.077
ATOMIC_POSITIONS angstrom
Pm -2.949 -10.180 -0.190
Pm -1.576 -3.200 5.687
Pm -3.596 -5.017 2.635
Pm -0.929 -8.363 2.862
Nd -2.033 -6.703 -0.133
Sm 0.430 -9.795 0.077
Sm -0.014 -4.885 2.920
Mg -2.478 -1.793 2.710
! Formation enthalpy at 0 K   0.078 eV per atom
! Total magnetic moment   0.00 μB per formula unit